[1]
Computed, not measured: Re2BO after structural relaxation at the GGA-PBE level of DFT.

Cell lengths 3.910, 3.910, 3.910 Å; angles 60.00, 60.00, 60.00 degrees
Positions (direct):
O: 0.500 0.500 0.500
Re: 0.250 0.250 0.250
Re: 0.750 0.750 0.750
B: 0.000 0.000 0.000

Properties
magnetization = 0.00 Bohr magnetons per cell
energy relative to the elements, uncorrected = 361.0 meV/atom
symmetry = Fm-3m, No. 225


[2]
Computed, not measured: ReB3O after structural relaxation at the GGA-PBE level of DFT.

Cell lengths 4.135, 4.135, 4.135 Å; angles 90.00, 90.00, 90.00 degrees
Site moments in Bohr magnetons follow the coordinates.
Positions (direct):
O: 0.500 0.500 0.500  1.33
B: 0.500 0.000 0.000  0.05
B: 0.000 0.500 0.000  0.08
B: 0.000 0.000 0.500  0.03
Re: 0.000 0.000 0.000  0.45

Properties
magnetization = 2.29 Bohr magnetons per cell
energy relative to the elements, uncorrected = 1661.1 meV/atom
symmetry = Pm-3m, No. 221


[3]
Computed, not measured: ReBO6 after structural relaxation at the GGA-PBE level of DFT.

Cell lengths 4.728, 4.728, 5.549 Å; angles 79.19, 79.19, 111.02 degrees
Positions (direct):
O: 0.126 0.463 0.408
O: 0.874 0.537 0.592
O: 0.463 0.126 0.408
O: 0.537 0.874 0.592
O: 0.760 0.760 0.140
O: 0.240 0.240 0.860
B: 0.000 0.000 0.000
Re: 0.500 0.500 0.500

Properties
magnetization = 0.00 Bohr magnetons per cell
energy relative to the elements, uncorrected = -1001.2 meV/atom
symmetry = C2/m, No. 12


[4]
Computed, not measured: ReBO after structural relaxation at the GGA-PBE level of DFT.

Cell lengths 2.806, 2.472, 11.557 Å; angles 102.83, 106.15, 70.99 degrees
Positions (direct):
B: 0.422 0.911 0.214
B: 0.578 0.089 0.786
O: 0.425 0.347 0.153
O: 0.575 0.653 0.847
Re: 0.198 0.170 0.398
Re: 0.802 0.830 0.602

Properties
magnetization = 0.00 Bohr magnetons per cell
energy relative to the elements, uncorrected = -731.6 meV/atom
symmetry = P-1, No. 2


[5]
Computed, not measured: Re2BRuO after structural relaxation at the GGA-PBE level of DFT.

Cell lengths 3.927, 4.076, 3.927 Å; angles 90.00, 90.00, 90.00 degrees
Positions (direct):
O: 0.000 0.000 0.000
Ru: 0.500 0.500 0.500
B: 0.000 0.500 0.000
Re: 0.500 0.000 0.000
Re: 0.000 0.000 0.500

Properties
magnetization = 0.00 Bohr magnetons per cell
energy relative to the elements, uncorrected = 993.3 meV/atom
symmetry = P4/mmm, No. 123


[6]
Computed, not measured: ReBSe2O after structural relaxation at the GGA-PBE level of DFT.

Cell lengths 4.764, 4.149, 4.764 Å; angles 90.00, 90.00, 90.00 degrees
Positions (direct):
B: 0.000 0.500 0.000
Se: 0.000 0.000 0.500
Se: 0.500 0.000 0.000
Re: 0.000 0.000 0.000
O: 0.500 0.500 0.500

Properties
magnetization = 0.00 Bohr magnetons per cell
energy relative to the elements, uncorrected = 1053.7 meV/atom
symmetry = P4/mmm, No. 123


[7]
Computed, not measured: ReSiBO2 after structural relaxation at the GGA-PBE level of DFT.

Cell lengths 3.752, 4.616, 3.752 Å; angles 90.00, 90.00, 90.00 degrees
Positions (direct):
O: 0.500 0.000 0.000
O: 0.000 0.000 0.500
Si: 0.500 0.500 0.500
B: 0.000 0.500 0.000
Re: 0.000 0.000 0.000

Properties
magnetization = 0.00 Bohr magnetons per cell
energy relative to the elements, uncorrected = -63.5 meV/atom
symmetry = P4/mmm, No. 123


[8]
Computed, not measured: Sr2ReBO6 after structural relaxation at the GGA-PBE level of DFT.

Cell lengths 5.472, 5.468, 6.100 Å; angles 56.13, 56.12, 75.93 degrees
Site moments in Bohr magnetons follow the coordinates.
Positions (direct):
O: 0.224 0.225 0.001  0.09
O: 0.774 0.774 0.450  0.09
O: 0.226 0.226 0.550  0.09
O: 0.776 0.775 0.999  0.09
O: 0.308 0.693 0.000  0.01
O: 0.692 0.307 0.000  0.01
Sr: 0.250 0.750 0.500  0.01
Sr: 0.750 0.250 0.500  0.01
Re: 0.000 0.000 0.000  1.34
B: 0.500 0.500 0.000  0.02

Properties
magnetization = 2.00 Bohr magnetons per cell
energy relative to the elements, uncorrected = -2058.8 meV/atom
symmetry = I4/m, No. 87


[9]
Computed, not measured: SrReBO6 after structural relaxation at the GGA-PBE level of DFT.

Cell lengths 5.065, 5.065, 5.420 Å; angles 90.00, 89.99, 60.02 degrees
Positions (direct):
O: 0.292 0.052 0.716
O: 0.454 0.569 0.298
O: 0.977 0.454 0.298
O: 0.656 0.292 0.717
O: 0.052 0.656 0.717
O: 0.569 0.977 0.298
Sr: 0.000 0.000 0.080
Re: 0.333 0.333 0.563
B: 0.667 0.667 0.313

Properties
magnetization = 0.00 Bohr magnetons per cell
energy relative to the elements, uncorrected = -2185.9 meV/atom
symmetry = P3, No. 143


[10]
Computed, not measured: SrReB2O8 after structural relaxation at the GGA-PBE level of DFT.

Cell lengths 4.976, 4.976, 6.940 Å; angles 90.00, 90.00, 120.00 degrees
Site moments in Bohr magnetons follow the coordinates.
Positions (direct):
O: 0.333 0.667 0.555  0.36
O: 0.347 0.174 0.162  0.03
O: 0.826 0.653 0.162  0.03
O: 0.653 0.826 0.838  0.03
O: 0.174 0.826 0.838  0.03
O: 0.174 0.347 0.838  0.03
O: 0.667 0.333 0.445  0.36
O: 0.826 0.174 0.162  0.03
Re: 0.000 0.000 0.000  -0.02
B: 0.333 0.667 0.760  -0.01
B: 0.667 0.333 0.240  -0.01
Sr: 0.000 0.000 0.500  0.00

Properties
magnetization = 1.00 Bohr magnetons per cell
energy relative to the elements, uncorrected = -1932.5 meV/atom
symmetry = P-3m1, No. 164


[11]
Computed, not measured: Ta2ReBO after structural relaxation at the GGA-PBE level of DFT.

Cell lengths 4.956, 3.657, 4.956 Å; angles 90.00, 90.00, 90.00 degrees
Positions (direct):
O: 0.000 0.500 0.000
B: 0.500 0.500 0.500
Ta: 0.500 0.000 0.000
Ta: 0.000 0.000 0.500
Re: 0.000 0.000 0.000

Properties
magnetization = 0.00 Bohr magnetons per cell
energy relative to the elements, uncorrected = 1282.5 meV/atom
symmetry = P4/mmm, No. 123


[12]
Computed, not measured: TlReB2O8 after structural relaxation at the GGA-PBE level of DFT.

Cell lengths 4.741, 4.741, 7.146 Å; angles 96.11, 96.11, 64.81 degrees
Positions (direct):
Tl: 0.000 0.000 0.500
O: 0.788 0.788 0.074
O: 0.676 0.202 0.812
O: 0.202 0.676 0.812
O: 0.324 0.798 0.188
O: 0.798 0.324 0.188
O: 0.249 0.249 0.592
O: 0.751 0.751 0.408
O: 0.212 0.212 0.926
Re: 0.000 0.000 0.000
B: 0.672 0.672 0.217
B: 0.328 0.328 0.783

Properties
magnetization = 0.00 Bohr magnetons per cell
energy relative to the elements, uncorrected = -1577.4 meV/atom
symmetry = C2/m, No. 12


[13]
Computed, not measured: TlReB2O after structural relaxation at the GGA-PBE level of DFT.

Cell lengths 4.143, 5.822, 4.143 Å; angles 90.00, 90.00, 90.00 degrees
Site moments in Bohr magnetons follow the coordinates.
Positions (direct):
Re: 0.000 0.500 0.000  3.50
Tl: 0.000 0.000 0.000  -0.01
O: 0.500 0.500 0.500  0.05
B: 0.000 0.000 0.500  -0.08
B: 0.500 0.000 0.000  -0.07

Properties
magnetization = 3.88 Bohr magnetons per cell
energy relative to the elements, uncorrected = 2994.4 meV/atom
symmetry = P4/mmm, No. 123


[14]
Computed, not measured: TlReBO6 after structural relaxation at the GGA-PBE level of DFT.

Cell lengths 5.038, 5.533, 5.069 Å; angles 96.12, 89.24, 77.31 degrees
Positions (direct):
O: 0.087 0.534 0.746
O: 0.291 0.011 0.633
O: 0.476 0.613 0.370
O: 0.622 0.001 0.321
O: 0.151 0.294 0.245
O: 0.623 0.312 0.753
Tl: 0.934 0.012 0.965
Re: 0.346 0.362 0.529
B: 0.470 0.862 0.438

Properties
magnetization = 0.00 Bohr magnetons per cell
energy relative to the elements, uncorrected = -1436.7 meV/atom
symmetry = P1, No. 1


[15]
Computed, not measured: B2RhO after structural relaxation at the GGA-PBE level of DFT.

Cell lengths 4.713, 4.713, 4.679 Å; angles 59.76, 59.76, 90.00 degrees
Positions (direct):
Rh: 0.000 0.000 0.000
Rh: 0.750 0.250 0.500
B: 0.200 0.625 0.250
B: 0.550 0.125 0.250
B: 0.375 0.450 0.750
B: 0.875 0.800 0.750
O: 0.500 0.500 0.000
O: 0.250 0.750 0.500

Properties
magnetization = 0.00 Bohr magnetons per cell
energy relative to the elements, uncorrected = -132.7 meV/atom
symmetry = I-42d, No. 122


[16]
Computed, not measured: B2RhO after structural relaxation at the GGA-PBE level of DFT.

Cell lengths 3.750, 3.750, 3.750 Å; angles 60.00, 60.00, 60.00 degrees
Site moments in Bohr magnetons follow the coordinates.
Positions (direct):
B: 0.750 0.750 0.750  0.08
B: 0.250 0.250 0.250  0.08
Rh: 0.500 0.500 0.500  0.10
O: 0.000 0.000 0.000  0.54

Properties
magnetization = 0.95 Bohr magnetons per cell
energy relative to the elements, uncorrected = 1326.9 meV/atom
symmetry = Fm-3m, No. 225


[17]
Computed, not measured: BRhO2 after structural relaxation at the GGA-PBE level of DFT.

Cell lengths 6.006, 6.006, 6.006 Å; angles 24.48, 24.48, 24.48 degrees
Positions (direct):
Rh: 0.000 0.000 0.000
B: 0.500 0.500 0.500
O: 0.883 0.883 0.883
O: 0.117 0.117 0.117

Properties
magnetization = 0.00 Bohr magnetons per cell
energy relative to the elements, uncorrected = -935.2 meV/atom
symmetry = R-3m, No. 166


[18]
Computed, not measured: BRhO2 after structural relaxation at the GGA-PBE level of DFT.

Cell lengths 3.709, 3.709, 3.709 Å; angles 60.00, 60.00, 60.00 degrees
Positions (direct):
O: 0.250 0.250 0.250
O: 0.750 0.750 0.750
B: 0.000 0.000 0.000
Rh: 0.500 0.500 0.500

Properties
magnetization = 0.00 Bohr magnetons per cell
energy relative to the elements, uncorrected = 775.0 meV/atom
symmetry = Fm-3m, No. 225


[19]
Computed, not measured: B6RhO6 after structural relaxation at the GGA-PBE level of DFT.

Cell lengths 4.414, 4.414, 8.194 Å; angles 68.53, 68.53, 85.37 degrees
Site moments in Bohr magnetons follow the coordinates.
Positions (direct):
Rh: 0.000 0.000 0.000  0.17
O: 0.295 0.694 0.715  0.01
O: 0.284 0.284 0.172  0.00
O: 0.306 0.705 0.285  0.01
O: 0.705 0.306 0.285  0.01
O: 0.716 0.716 0.828  0.00
O: 0.694 0.295 0.715  0.01
B: 0.601 0.016 0.882  0.00
B: 0.399 0.984 0.118  0.00
B: 0.016 0.601 0.882  0.00
B: 0.984 0.399 0.118  0.00
B: 0.572 0.572 0.742  0.00
B: 0.428 0.428 0.258  0.00

Properties
magnetization = 0.26 Bohr magnetons per cell
energy relative to the elements, uncorrected = -1508.1 meV/atom
symmetry = C2/m, No. 12


[20]
Computed, not measured: BRhO2 after structural relaxation at the GGA-PBE level of DFT.

Cell lengths 4.558, 4.558, 4.778 Å; angles 61.51, 61.51, 90.00 degrees
Site moments in Bohr magnetons follow the coordinates.
Positions (direct):
B: 0.250 0.750 0.500  0.00
B: 0.500 0.500 0.000  0.00
O: 0.875 0.724 0.750  0.12
O: 0.276 0.625 0.250  0.10
O: 0.474 0.125 0.250  0.10
O: 0.375 0.526 0.750  0.12
Rh: 0.000 0.000 0.000  1.71
Rh: 0.750 0.250 0.500  1.71

Properties
magnetization = 4.00 Bohr magnetons per cell
energy relative to the elements, uncorrected = -935.6 meV/atom
symmetry = I-42d, No. 122